(1)
BaGe2Pd: single point on PBEsol structure, meta-GGA SCAN.

Values from the calculation:
The calculation puts the density of states at the Fermi level at 0.361 states/eV per atom. For the total DFT energy (no corrections), the calculation gives -28.34 eV per atom. For the formation energy, the calculation gives -716 meV per atom.

Cell lengths 4.237, 6.957, 6.353 Å; angles 90.00, 90.00, 90.00 degrees
Space group Pmmn (No. 59, origin choice 2)
Unique sites:
Ba: 0.250 0.250 0.126 x2
Ge: 0.250 0.048 0.646 x4
Pd: 0.250 0.750 0.410 x2

---

(2)
Li2Ca2Se: single point on PBEsol structure, meta-GGA SCAN.

Values from the calculation:
The calculation puts the density of states at the Fermi level at 0.535 states/eV per atom. For the total DFT energy (no corrections), the calculation gives -9.33 eV per atom. The calculation puts the raw formation energy at -495 meV per atom.

Cell lengths 7.637, 7.637, 5.504 Å; angles 90.00, 90.00, 90.00 degrees
Space group P4/mbm (No. 127)
Unique sites:
Li: 0.131 0.369 0.000 x4
Ca: 0.177 0.677 0.500 x4
Se: 0.000 0.000 0.500 x2